First-principles (PBE) data for a relaxed Tm3Ge4Pd4 crystal, as listed in the Alexandria database.

Results
* crystal system: orthorhombic
* symmetry: Immm, No. 71
* total energy: -5.679 eV/atom

```
Tm3Ge4Pd4
1.0
-2.068 3.546 6.948
2.068 -3.546 6.948
2.068 3.546 -6.948
Tm Ge Pd
3 4 4
direct
0.000 0.000 0.000
0.374 0.874 0.500
0.626 0.126 0.500
0.218 0.218 0.000
0.312 0.500 0.812
0.688 0.500 0.188
0.782 0.782 0.000
0.027 0.325 0.701
0.376 0.675 0.701
0.624 0.325 0.299
0.973 0.675 0.299
```